[1]
This record from Alexandria via LeMat-Bulk describes TiGa2N after structural relaxation. The functional is GGA-PBE.

Cell and atoms, written as POSCAR:
```
TiGa2N
1.0
-3.796 3.796 2.063
3.796 -3.796 2.063
3.796 3.796 -2.063
Ti Ga N
2 4 2
Cartesian
0.000 0.000 0.000
0.000 3.796 1.032
1.898 2.653 -0.516
4.939 1.898 0.516
1.898 1.143 1.547
-1.143 1.898 2.579
3.796 0.000 1.032
0.000 0.000 2.063
```

Excess energy over the best structure of this formula in the dataset in meV per atom: 0
Mass density in kg/m³: 5622
E_tot in eV per atom: -5.561
Formation energy without anion corrections in meV/atom: 7
Space-group type: I-42d


[2]
This record from Alexandria via LeMat-Bulk describes Ti8GaN2 after structural relaxation. The functional is GGA-PBE.

Cell and atoms, written as POSCAR:
```
Ti8GaN2
1.0
3.299 -5.776 0.000
3.299 5.776 0.000
-0.454 0.000 4.164
Ti Ga N
8 1 2
Cartesian
1.341 1.534 2.287
3.299 2.921 0.000
1.341 -1.534 2.287
2.462 0.000 0.593
3.682 0.000 3.571
4.803 1.534 1.877
3.299 -2.921 0.000
4.803 -1.534 1.877
0.000 0.000 0.000
3.072 2.843 2.082
3.072 -2.843 2.082
```

Mass density in kg/m³: 5030
E_tot in eV per atom: -8.097
Formation energy without anion corrections in meV/atom: -566
Space-group type: C2/m


[3]
This record from Alexandria via LeMat-Bulk describes TiGaN3 after structural relaxation. The functional is GGA-PBE.

Cell and atoms, written as POSCAR:
```
TiGaN3
1.0
3.938 0.000 0.000
0.000 3.938 0.000
0.000 0.000 3.938
Ti Ga N
1 1 3
Cartesian
0.000 0.000 0.000
1.969 1.969 1.969
0.000 0.000 1.969
0.000 1.969 0.000
1.969 0.000 0.000
```

Mass density in kg/m³: 4340
E_tot in eV per atom: -6.506
Formation energy without anion corrections in meV/atom: 674
Space-group type: Pm-3m


[4]
This record from Alexandria via LeMat-Bulk describes TiGa3N after structural relaxation. The functional is GGA-PBE.

Cell and atoms, written as POSCAR:
```
TiGa3N
1.0
4.255 0.000 0.000
0.000 4.255 0.000
0.000 0.000 4.255
Ti Ga N
1 3 1
Cartesian
0.000 0.000 0.000
0.000 2.128 2.128
2.128 0.000 2.128
2.128 2.128 0.000
2.128 2.128 2.128
```

Excess energy over the best structure of this formula in the dataset in meV per atom: 0
Mass density in kg/m³: 5841
E_tot in eV per atom: -4.593
Formation energy without anion corrections in meV/atom: 467
Space-group type: Pm-3m